A PBEsol-optimized structure of Li3V2P3O12, computed with meta-GGA SCAN.

Geometry as extended XYZ:
```
40
Lattice="8.3149 -0.0340 0.0057 3.7059 7.4435 0.0057 3.9832 2.4552 7.0843" Properties=species:S:1:pos:R:3 pbc="T T T"
Li 12.0199 7.7682 4.5271
Li 10.3493 6.0199 0.9850
Li 3.8446 4.9493 3.5450
Li 5.6547 3.8448 6.1107
Li 4.1575 -0.0170 0.0029
Li 3.9841 2.0964 2.5686
V 9.6188 8.4696 6.0382
V 9.8970 3.5596 2.4961
V 6.1070 6.3050 4.5996
V 6.3852 1.3950 1.0575
P 12.0966 6.4830 6.8562
P 4.9048 7.7278 1.7768
P 9.2356 6.6659 3.3141
P 6.7684 3.1988 3.7817
P 11.0992 2.1369 5.3189
P 3.9075 3.3817 0.2395
O 11.7193 7.7915 1.4428
O 14.2182 8.1960 4.9849
O 12.6213 6.0266 5.4527
O 11.4265 7.8597 6.5936
O 9.2428 4.3169 0.7794
O 7.1991 2.9277 0.2634
O 5.7409 7.2315 0.5709
O 9.0637 7.3397 1.9106
O 10.1644 5.4486 3.0514
O 10.0014 7.5449 4.3216
O 7.8420 6.3433 3.8056
O 11.0316 3.1068 4.1130
O 4.9725 6.7579 2.9827
O 8.1621 3.5213 3.2901
O 6.0027 2.3197 2.7741
O 5.8396 4.4160 4.0443
O 6.9404 2.5250 5.1851
O 10.2632 2.6331 6.5248
O 8.8050 6.9369 6.8323
O 6.7612 5.5478 6.3163
O 4.5775 2.0050 0.5022
O 3.3828 3.8380 1.6430
O 1.7858 1.6687 2.1108
O 4.2848 2.0731 5.6529
```

Results
offset from the most stable computed form: 28 meV per atom
uncorrected formation energy: -2.5881 eV per atom

A PBEsol-optimized structure of SmYCu4, computed with meta-GGA SCAN.

Geometry as extended XYZ:
```
6
Lattice="-2.5853 2.3076 -2.4744 -4.6165 -2.5174 -1.1882 -3.6347 2.8440 2.7861" Properties=species:S:1:pos:R:3 pbc="T T T"
Sm -5.1637 1.4061 -0.6213
Y -1.5328 1.0698 -1.0646
Cu -3.4938 -1.1407 -1.0773
Cu -7.8431 1.0799 -1.7899
Cu -7.4537 3.2064 -0.2136
Cu -2.8971 2.1177 1.3380
```

Results
ΔH_f (0 K): -0.28 eV per atom

A PBEsol-optimized structure of LaTeP2, computed with meta-GGA SCAN.

Geometry as extended XYZ:
```
4
Lattice="-3.0715 2.6615 -3.0260 -0.5923 -1.3666 -4.8431 -4.3891 -2.0028 -1.5487" Properties=species:S:1:pos:R:3 pbc="T T T"
La -4.0264 -0.3540 -4.7089
P 0.0000 0.0000 0.0000
P -2.0132 -0.1770 -2.3544
Te -6.0397 -0.5310 -7.0633
```

Results
uncorrected formation energy: -0.1104 eV per atom

A PBEsol-optimized structure of Ca2LaOs, computed with meta-GGA SCAN.

Geometry as extended XYZ:
```
4
Lattice="-0.4510 3.6827 2.2792 -1.1362 -2.3118 3.5106 5.8053 -0.9626 -1.4553" Properties=species:S:1:pos:R:3 pbc="T T T"
Ca 2.2804 1.7027 1.8594
Ca 1.9377 -1.2945 2.4751
Os 0.0000 0.0000 0.0000
La -0.7936 0.6854 2.8949
```

Results
offset from the most stable computed form: 0 meV per atom
ΔH_f (0 K): 0.37 eV per atom

A PBEsol-optimized structure of LaPS, computed with meta-GGA SCAN.

Geometry as extended XYZ:
```
12
Lattice="-0.5124 0.5565 -3.6819 -7.2458 0.1080 1.0248 0.3329 9.3556 1.3676" Properties=species:S:1:pos:R:3 pbc="T T T"
P -0.3950 9.1454 0.4778
P -3.2665 4.7824 -1.7006
P -4.1589 5.2377 0.4111
P -7.0304 0.8746 -1.7673
S -2.9908 8.3397 -1.2013
S -0.7503 3.3516 -0.3484
S -6.6751 6.6684 -0.9412
S -4.4346 1.6803 -0.0882
La -6.0686 3.7267 -1.4701
La -1.3567 6.2933 0.1806
La -2.5086 1.9046 -2.2410
La -4.9167 8.1155 0.9515
```

Results
uncorrected formation energy: -1.7791 eV per atom

A PBEsol-optimized structure of Cr3InSi, computed with meta-GGA SCAN.

Geometry as extended XYZ:
```
5
Lattice="-3.9114 0.0529 -1.9576 -1.8820 -1.3097 3.7251 -0.5411 4.1732 1.1939" Properties=species:S:1:pos:R:3 pbc="T T T"
Cr -0.9410 -0.6548 1.8626
Cr -0.2705 2.0866 0.5969
Cr -1.9557 0.0265 -0.9788
Si 0.0000 0.0000 0.0000
In -3.1672 1.4582 1.4807
```

Results
uncorrected formation energy: 0.5076 eV per atom

A PBEsol-optimized structure of InCuAs2, computed with meta-GGA SCAN.

Geometry as extended XYZ:
```
4
Lattice="-2.0704 -0.6380 -2.3105 -1.1931 -2.3737 1.7245 -4.9317 4.7388 3.1107" Properties=species:S:1:pos:R:3 pbc="T T T"
As -4.0266 3.8691 2.5398
As -0.9051 0.8697 0.5709
Cu -1.6317 -1.5058 -0.2930
In -4.0976 0.8636 1.2624
```

Results
ΔH_f (0 K): 0.23 eV per atom

A PBEsol-optimized structure of Hf2Be2In, computed with meta-GGA SCAN.

Geometry as extended XYZ:
```
10
Lattice="-0.1949 -2.9667 2.5283 5.5899 -2.1574 -2.1005 2.9943 3.5164 4.3569" Properties=species:S:1:pos:R:3 pbc="T T T"
Be 4.7649 2.2755 3.0374
Be 6.7773 0.2778 0.8485
Be 3.8193 -0.9165 -0.7810
Be 1.8069 1.0812 1.4079
Hf 2.8269 0.5008 3.8177
Hf 6.1233 0.0111 3.4972
Hf 5.5624 -2.1085 0.9669
Hf 2.2660 -1.6188 1.2875
In 0.0000 0.0000 0.0000
In 4.2921 0.6795 1.1282
```

Results
ΔH_f (0 K): -0.30 eV per atom